Entry 1:
{
  "formula": "Ce2MgCo",
  "functional": "PBE",
  "state": "relaxed",
  "lattice_angstrom": [[3.673, 0.000, 0.000], [1.837, 3.181, 0.000], [1.837, 1.060, 8.823]],
  "species": ["Ce", "Ce", "Mg", "Co"],
  "frac_coords": [[0.060, 0.060, 0.819], [0.273, 0.273, 0.182], [0.499, 0.499, 0.503], [0.668, 0.668, 0.995]],
  "e_form_kj_per_mol_atoms": 1.58
}

---

Entry 2:
{
  "formula": "PuInIr",
  "functional": "PBE",
  "state": "relaxed",
  "lattice_angstrom": [[-2.670, 1.511, -0.093], [-2.332, -4.046, 1.203], [1.572, 2.991, 3.441]],
  "species": ["Ir", "In", "Pu"],
  "frac_coords": [[0.167, 0.000, 0.000], [0.167, 0.333, 0.667], [0.667, 0.667, 0.333]],
  "e_form_kj_per_mol_atoms": -19.44
}

---

Entry 3:
{
  "formula": "Sr2TmCdS4",
  "functional": "PBE",
  "state": "relaxed",
  "lattice_angstrom": [[4.075, 0.000, 0.000], [0.000, 7.283, 0.160], [0.000, -2.516, 6.505]],
  "species": ["Sr", "Sr", "Tm", "Cd", "S", "S", "S", "S"],
  "frac_coords": [[0.500, 0.000, 0.500], [0.000, 0.500, 0.500], [0.500, 0.500, 0.000], [0.000, 0.000, 0.000], [0.500, 0.254, 0.223], [0.500, 0.746, 0.777], [0.000, 0.268, 0.773], [0.000, 0.732, 0.227]],
  "e_tot_ev_per_cell": -38.36
}

---

Entry 4:
{
  "formula": "Tm6Tl3Sb",
  "functional": "PBE",
  "state": "relaxed",
  "lattice_angstrom": [[-1.784, -5.752, 3.121], [3.320, -5.160, -7.612], [6.240, 2.002, 7.256]],
  "species": ["Tm", "Tm", "Tm", "Tm", "Tm", "Tm", "Tm", "Tm", "Tm", "Tm", "Tm", "Tm", "Tl", "Tl", "Tl", "Tl", "Tl", "Tl", "Sb", "Sb"],
  "frac_coords": [[0.057, 0.771, 0.639], [0.557, 0.639, 0.771], [0.283, 0.442, 0.920], [0.783, 0.920, 0.442], [0.286, 0.999, 0.001], [0.733, 0.283, 0.717], [0.233, 0.717, 0.283], [0.786, 0.001, 0.999], [0.283, 0.080, 0.558], [0.783, 0.558, 0.080], [0.057, 0.361, 0.229], [0.557, 0.229, 0.361], [0.530, 0.911, 0.694], [0.030, 0.694, 0.911], [0.187, 0.425, 0.575], [0.687, 0.575, 0.425], [0.030, 0.089, 0.306], [0.530, 0.306, 0.089], [0.040, 0.151, 0.849], [0.540, 0.849, 0.151]],
  "e_tot_ev_per_cell": -81.88
}

---

Entry 5:
{
  "formula": "Na3La3ZrTe8",
  "functional": "PBE",
  "state": "relaxed",
  "lattice_angstrom": [[9.099, 0.000, 0.000], [-4.550, 7.879, -0.029], [0.000, -5.228, 7.612]],
  "species": ["Na", "Na", "Na", "La", "La", "La", "Zr", "Te", "Te", "Te", "Te", "Te", "Te", "Te", "Te"],
  "frac_coords": [[0.000, 0.000, 0.000], [0.000, 0.500, 0.000], [0.500, 0.500, 0.000], [0.500, 0.000, 0.500], [0.500, 0.500, 0.500], [0.000, 0.500, 0.500], [0.000, 0.000, 0.500], [0.252, 0.504, 0.255], [0.748, 0.496, 0.745], [0.771, 0.541, 0.273], [0.229, 0.459, 0.727], [0.771, 0.003, 0.273], [0.229, 0.997, 0.727], [0.232, 0.003, 0.273], [0.768, 0.997, 0.727]],
  "e_tot_ev_per_cell": -71.52
}

---

Entry 6:
{
  "formula": "SrBeCr2",
  "functional": "PBE",
  "state": "relaxed",
  "lattice_angstrom": [[-1.138, 3.099, -3.626], [-4.674, -1.458, 0.273], [2.628, 2.082, 3.579]],
  "species": ["Sr", "Be", "Cr", "Cr"],
  "frac_coords": [[0.500, 0.500, 0.000], [0.183, 0.683, 0.500], [0.006, 0.006, 0.000], [0.811, 0.311, 0.500]],
  "e_form_kj_per_mol_atoms": 80.57
}

---

Entry 7:
{
  "formula": "Ca3Zn",
  "functional": "PBE",
  "state": "relaxed",
  "lattice_angstrom": [[6.963, 0.004, 0.000], [-5.737, 3.947, 0.000], [0.000, 0.000, 9.941]],
  "species": ["Ca", "Ca", "Ca", "Ca", "Ca", "Ca", "Zn", "Zn"],
  "frac_coords": [[0.568, 0.432, 0.750], [0.432, 0.568, 0.250], [0.857, 0.143, 0.938], [0.143, 0.857, 0.438], [0.857, 0.143, 0.562], [0.143, 0.857, 0.062], [0.244, 0.756, 0.750], [0.756, 0.244, 0.250]],
  "e_form_kj_per_mol_atoms": -12.22
}

---

Entry 8:
{
  "formula": "PmY14Al",
  "functional": "PBE",
  "state": "relaxed",
  "lattice_angstrom": [[6.945, 0.013, 0.000], [-1.818, 6.702, 0.000], [0.000, 0.000, 10.841]],
  "species": ["Pm", "Y", "Y", "Y", "Y", "Y", "Y", "Y", "Y", "Y", "Y", "Y", "Y", "Y", "Y", "Al"],
  "frac_coords": [[0.390, 0.610, 0.000], [0.363, 0.637, 0.500], [0.816, 0.184, 0.500], [0.861, 0.549, 0.000], [0.893, 0.706, 0.500], [0.451, 0.139, 0.000], [0.294, 0.107, 0.500], [0.670, 0.920, 0.763], [0.670, 0.920, 0.237], [0.080, 0.330, 0.763], [0.080, 0.330, 0.237], [0.154, 0.846, 0.781], [0.154, 0.846, 0.219], [0.593, 0.407, 0.724], [0.593, 0.407, 0.276], [0.940, 0.060, 0.000]],
  "e_form_kj_per_mol_atoms": -0.14
}